1.
Material: Mg2Zn3Cd
Method: DFT, GGA-PBE
State: optimized geometry

Results
- Energy relative to the elements: -0.014 eV per atom
- DOS at the Fermi energy: 0.24 states/eV per atom
- Excess energy over the best structure of this formula in the dataset: 48 meV per atom
- Space group: C2/c

Structure (POSCAR):
```
Mg2Zn3Cd
1.0
4.155 -2.955 0.000
4.155 2.955 0.000
-3.972 0.000 9.031
Mg Zn Cd
4 6 2
Direct
0.048 0.296 0.093 Mg
0.296 0.048 0.593 Mg
0.704 0.952 0.407 Mg
0.952 0.704 0.907 Mg
0.216 0.465 0.429 Zn
0.375 0.625 0.750 Zn
0.465 0.216 0.929 Zn
0.535 0.784 0.071 Zn
0.625 0.375 0.250 Zn
0.784 0.535 0.571 Zn
0.126 0.874 0.250 Cd
0.874 0.126 0.750 Cd
```

***

2.
Material: K2ZrCl
Method: DFT, GGA-PBE
State: optimized geometry

Results
- DOS at the Fermi energy: 0.71 states/eV per atom
- Excess energy over the best structure of this formula in the dataset: 0 meV per atom
- Raw formation energy: -0.281 eV per atom
- Space group: C2/m

Structure (POSCAR):
```
K2ZrCl
1.0
3.095 -1.783 0.000
3.095 1.783 0.000
-2.023 0.000 11.312
K Zr Cl
2 1 1
Direct
0.230 0.230 0.193 K
0.770 0.770 0.807 K
0.000 0.000 0.500 Zr
0.500 0.500 0.000 Cl
```

***

3.
Material: SrSmZnCd
Method: DFT, GGA-PBE
State: optimized geometry

Results
- Energy relative to the elements: -0.281 eV per atom
- DOS at the Fermi energy: 0.92 states/eV per atom
- Excess energy over the best structure of this formula in the dataset: 0 meV per atom
- Space group: P4mm

Structure (POSCAR):
```
SrSmZnCd
1.0
3.836 0.000 0.000
0.000 3.836 0.000
0.000 0.000 7.753
Sr Sm Zn Cd
1 1 1 1
Direct
0.000 0.000 0.000 Sr
0.000 0.000 0.472 Sm
0.500 0.500 0.273 Zn
0.500 0.500 0.713 Cd
```

***

4.
Material: HfTa2CrNi
Method: DFT, GGA-PBE
State: optimized geometry

Results
- Energy relative to the elements: 0.839 eV per atom
- DOS at the Fermi energy: 1.49 states/eV per atom
- Space group: P4/mmm

Structure (POSCAR):
```
HfTa2CrNi
1.0
4.689 0.000 0.000
0.000 4.689 0.000
0.000 0.000 4.209
Hf Ta Cr Ni
1 2 1 1
Direct
0.000 0.000 0.000 Hf
0.000 0.500 0.500 Ta
0.500 0.000 0.500 Ta
0.500 0.500 0.000 Cr
0.500 0.500 0.500 Ni
```

***

5.
Material: PrSm6Er2Mg
Method: DFT, GGA-PBE
State: optimized geometry

Results
- Energy relative to the elements: 0.118 eV per atom
- DOS at the Fermi energy: 1.34 states/eV per atom
- Space group: C2/c

Structure (POSCAR):
```
PrSm6Er2Mg
1.0
4.685 -7.803 0.000
4.685 7.803 0.000
-0.216 0.000 8.960
Pr Sm Er Mg
2 12 4 2
Direct
0.034 0.966 0.750 Pr
0.966 0.034 0.250 Pr
0.033 0.459 0.302 Sm
0.123 0.792 0.052 Sm
0.208 0.877 0.448 Sm
0.270 0.527 0.908 Sm
0.459 0.033 0.802 Sm
0.473 0.730 0.592 Sm
0.527 0.270 0.408 Sm
0.541 0.967 0.198 Sm
0.730 0.473 0.092 Sm
0.792 0.123 0.552 Sm
0.877 0.208 0.948 Sm
0.967 0.541 0.698 Sm
0.217 0.322 0.557 Er
0.322 0.217 0.057 Er
0.678 0.783 0.943 Er
0.783 0.678 0.443 Er
0.437 0.563 0.250 Mg
0.563 0.437 0.750 Mg
```

***

6.
Material: Rb2SmHgBr6
Method: DFT, GGA-PBE
State: optimized geometry

Results
- DOS at the Fermi energy: 0.43 states/eV per atom
- Raw formation energy: -1.440 eV per atom
- Space group: Pmmn

Structure (POSCAR):
```
Rb2SmHgBr6
1.0
8.528 0.000 0.000
0.000 11.824 0.000
0.000 0.000 8.231
Rb Sm Hg Br
4 2 2 12
Direct
0.250 0.039 0.219 Rb
0.250 0.461 0.219 Rb
0.750 0.539 0.781 Rb
0.750 0.961 0.781 Rb
0.250 0.250 0.740 Sm
0.750 0.750 0.260 Sm
0.250 0.750 0.750 Hg
0.750 0.250 0.250 Hg
0.012 0.250 0.985 Br
0.027 0.250 0.482 Br
0.250 0.009 0.763 Br
0.250 0.491 0.763 Br
0.473 0.250 0.482 Br
0.488 0.250 0.985 Br
0.512 0.750 0.015 Br
0.527 0.750 0.518 Br
0.750 0.509 0.237 Br
0.750 0.991 0.237 Br
0.973 0.750 0.518 Br
0.988 0.750 0.015 Br
```

***

7.
Material: Mg2PbBr
Method: DFT, GGA-PBE
State: optimized geometry

Results
- DOS at the Fermi energy: 0.46 states/eV per atom
- Excess energy over the best structure of this formula in the dataset: 132 meV per atom
- Raw formation energy: -0.291 eV per atom
- Space group: P4/mmm

Structure (POSCAR):
```
Mg2PbBr
1.0
3.579 0.000 0.000
0.000 3.579 0.000
0.000 0.000 8.124
Mg Pb Br
2 1 1
Direct
0.000 0.000 0.248 Mg
0.000 0.000 0.752 Mg
0.500 0.500 0.000 Pb
0.500 0.500 0.500 Br
```

***

8.
Material: NbAgAsBr2
Method: DFT, GGA-PBE
State: optimized geometry

Results
- DOS at the Fermi energy: 1.28 states/eV per atom
- Excess energy over the best structure of this formula in the dataset: 800 meV per atom
- Raw formation energy: 0.930 eV per atom
- Space group: P4/mmm

Structure (POSCAR):
```
NbAgAsBr2
1.0
5.176 0.000 0.000
0.000 5.176 0.000
0.000 0.000 5.131
Nb Ag As Br
1 1 1 2
Direct
0.000 0.000 0.000 Nb
0.500 0.500 0.500 Ag
0.500 0.500 0.000 As
0.000 0.500 0.500 Br
0.500 0.000 0.500 Br
```

***

9.
Material: DyHoTlGa
Method: DFT, GGA-PBE
State: optimized geometry

Results
- Energy relative to the elements: -0.454 eV per atom
- DOS at the Fermi energy: 0.38 states/eV per atom
- Excess energy over the best structure of this formula in the dataset: 0 meV per atom
- Space group: P4mm

Structure (POSCAR):
```
DyHoTlGa
1.0
3.574 0.000 0.000
0.000 3.574 0.000
0.000 0.000 7.803
Dy Ho Tl Ga
1 1 1 1
Direct
0.000 0.000 0.000 Dy
0.000 0.000 0.463 Ho
0.500 0.500 0.730 Tl
0.500 0.500 0.233 Ga
```

***

10.
Material: Ga2RhO
Method: DFT, GGA-PBE
State: optimized geometry

Results
- DOS at the Fermi energy: 0.31 states/eV per atom
- Raw formation energy: -0.727 eV per atom
- Space group: I-42d

Structure (POSCAR):
```
Ga2RhO
1.0
-2.945 2.945 3.280
2.945 -2.945 3.280
2.945 2.945 -3.280
Ga Rh O
4 2 2
Direct
0.065 0.125 0.440 Ga
0.375 0.935 0.060 Ga
0.685 0.625 0.560 Ga
0.875 0.315 0.940 Ga
0.250 0.750 0.500 Rh
0.500 0.500 0.000 Rh
0.000 0.000 0.000 O
0.750 0.250 0.500 O
```

***

11.
Material: Pr4Zn2Cl
Method: DFT, GGA-PBE
State: optimized geometry

Results
- DOS at the Fermi energy: 1.03 states/eV per atom
- Raw formation energy: -0.573 eV per atom
- Space group: C2/m

Structure (POSCAR):
```
Pr4Zn2Cl
1.0
6.741 -2.016 0.000
6.741 2.016 0.000
-5.326 0.000 7.264
Pr Zn Cl
4 2 1
Direct
0.094 0.094 0.388 Pr
0.320 0.320 0.912 Pr
0.680 0.680 0.088 Pr
0.906 0.906 0.612 Pr
0.392 0.392 0.325 Zn
0.608 0.608 0.675 Zn
0.000 0.000 0.000 Cl
```

***

12.
Material: Tb3PuRu2
Method: DFT, GGA-PBE
State: optimized geometry

Results
- Energy relative to the elements: -0.204 eV per atom
- DOS at the Fermi energy: 1.85 states/eV per atom
- Excess energy over the best structure of this formula in the dataset: 0 meV per atom
- Space group: Ibam

Structure (POSCAR):
```
Tb3PuRu2
1.0
-3.335 6.690 3.578
3.335 -6.690 3.578
3.335 6.690 -3.578
Tb Pu Ru
6 2 4
Direct
0.016 0.750 0.266 Tb
0.250 0.250 0.000 Tb
0.484 0.750 0.734 Tb
0.516 0.250 0.266 Tb
0.750 0.750 0.000 Tb
0.984 0.250 0.734 Tb
0.000 0.500 0.500 Pu
0.500 0.000 0.500 Pu
0.127 0.239 0.366 Ru
0.373 0.739 0.113 Ru
0.627 0.261 0.887 Ru
0.873 0.761 0.634 Ru
```

***

13.
Material: SrCe2ScAs4
Method: DFT, GGA-PBE
State: optimized geometry

Results
- Energy relative to the elements: -1.287 eV per atom
- DOS at the Fermi energy: 0.99 states/eV per atom
- Space group: P2/m

Structure (POSCAR):
```
SrCe2ScAs4
1.0
7.193 0.000 0.000
0.000 4.209 0.000
-2.453 0.000 6.917
Sr Ce Sc As
1 2 1 4
Direct
0.000 0.000 0.000 Sr
0.500 0.000 0.500 Ce
0.500 0.500 0.000 Ce
0.000 0.500 0.500 Sc
0.244 0.000 0.732 As
0.259 0.500 0.271 As
0.741 0.500 0.729 As
0.756 0.000 0.268 As
```

***

14.
Material: SmTmPb6
Method: DFT, GGA-PBE
State: optimized geometry

Results
- Energy relative to the elements: -0.282 eV per atom
- DOS at the Fermi energy: 0.54 states/eV per atom
- Space group: P4/mmm

Structure (POSCAR):
```
SmTmPb6
1.0
4.887 0.000 0.000
0.000 4.887 0.000
0.000 0.000 9.771
Sm Tm Pb
1 1 6
Direct
0.000 0.000 0.000 Sm
0.000 0.000 0.500 Tm
0.000 0.500 0.254 Pb
0.000 0.500 0.746 Pb
0.500 0.000 0.254 Pb
0.500 0.000 0.746 Pb
0.500 0.500 0.000 Pb
0.500 0.500 0.500 Pb
```

***

15.
Material: Ca2SnBi2
Method: DFT, GGA-PBE
State: optimized geometry

Results
- Energy relative to the elements: -0.524 eV per atom
- DOS at the Fermi energy: 0.30 states/eV per atom
- Excess energy over the best structure of this formula in the dataset: 13 meV per atom
- Space group: P4/mbm

Structure (POSCAR):
```
Ca2SnBi2
1.0
9.231 0.000 0.000
0.000 9.231 0.000
0.000 0.000 3.768
Ca Sn Bi
4 2 4
Direct
0.140 0.360 0.000 Ca
0.360 0.860 0.000 Ca
0.640 0.140 0.000 Ca
0.860 0.640 0.000 Ca
0.000 0.000 0.500 Sn
0.500 0.500 0.500 Sn
0.161 0.661 0.500 Bi
0.339 0.161 0.500 Bi
0.661 0.839 0.500 Bi
0.839 0.339 0.500 Bi
```

***

16.
Material: RbCa2Au2
Method: DFT, GGA-PBE
State: optimized geometry

Results
- Energy relative to the elements: -0.462 eV per atom
- DOS at the Fermi energy: 0.55 states/eV per atom
- Space group: I4/mmm

Structure (POSCAR):
```
RbCa2Au2
1.0
-2.552 2.552 6.253
2.552 -2.552 6.253
2.552 2.552 -6.253
Rb Ca Au
1 2 2
Direct
0.000 0.000 0.000 Rb
0.250 0.750 0.500 Ca
0.750 0.250 0.500 Ca
0.385 0.385 0.000 Au
0.615 0.615 0.000 Au
```

***

17.
Material: ZnBrN2F
Method: DFT, GGA-PBE
State: optimized geometry

Results
- DOS at the Fermi energy: 0.72 states/eV per atom
- Excess energy over the best structure of this formula in the dataset: 0 meV per atom
- Raw formation energy: 1.140 eV per atom
- Space group: P4/mmm

Structure (POSCAR):
```
ZnBrN2F
1.0
4.193 0.000 0.000
0.000 4.193 0.000
0.000 0.000 3.954
Zn Br N F
1 1 2 1
Direct
0.000 0.000 0.000 Zn
0.500 0.500 0.500 Br
0.000 0.500 0.000 N
0.500 0.000 0.000 N
0.000 0.000 0.500 F
```

***

18.
Material: CsNaHg2Bi
Method: DFT, GGA-PBE
State: optimized geometry

Results
- Energy relative to the elements: -0.275 eV per atom
- DOS at the Fermi energy: 0.36 states/eV per atom
- Excess energy over the best structure of this formula in the dataset: 0 meV per atom
- Space group: Imm2

Structure (POSCAR):
```
CsNaHg2Bi
1.0
-2.593 2.729 6.473
2.593 -2.729 6.473
2.593 2.729 -6.473
Cs Na Hg Bi
1 1 2 1
Direct
0.000 0.000 0.000 Cs
0.243 0.743 0.500 Na
0.385 0.385 0.000 Hg
0.755 0.255 0.500 Hg
0.624 0.624 0.000 Bi
```

***

19.
Material: BiPd2Pb
Method: DFT, GGA-PBE
State: optimized geometry

Results
- Energy relative to the elements: -0.122 eV per atom
- DOS at the Fermi energy: 0.50 states/eV per atom
- Space group: R-3m

Structure (POSCAR):
```
BiPd2Pb
1.0
1.762 1.018 8.265
-1.762 1.018 8.265
0.000 -2.035 8.265
Bi Pd Pb
1 2 1
Direct
0.000 0.000 0.000 Bi
0.250 0.250 0.250 Pd
0.750 0.750 0.750 Pd
0.500 0.500 0.500 Pb
```

***

20.
Material: Pr2ErHf
Method: DFT, GGA-PBE
State: optimized geometry

Results
- Energy relative to the elements: 0.218 eV per atom
- DOS at the Fermi energy: 1.10 states/eV per atom
- Excess energy over the best structure of this formula in the dataset: 35 meV per atom
- Space group: P4/mmm

Structure (POSCAR):
```
Pr2ErHf
1.0
4.066 0.000 0.000
0.000 4.066 0.000
0.000 0.000 7.362
Pr Er Hf
2 1 1
Direct
0.000 0.000 0.226 Pr
0.000 0.000 0.774 Pr
0.500 0.500 0.500 Er
0.500 0.500 0.000 Hf
```